Entry 1:
V3Mo6W | PBE | optimized geometry

Lattice parameters (Å, degrees): 3.098 9.574 11.141 108.63 90.00 90.00
Sites, in units of the cell vectors:
V 0.750 0.412 0.900
V 0.750 0.643 0.528
V 0.750 0.077 0.080
V 0.250 0.357 0.472
V 0.250 0.923 0.920
V 0.250 0.588 0.100
Mo 0.750 0.105 0.470
Mo 0.250 0.895 0.530
Mo 0.750 0.783 0.746
Mo 0.250 0.217 0.254
Mo 0.750 0.405 0.161
Mo 0.750 0.758 0.312
Mo 0.250 0.595 0.839
Mo 0.250 0.238 0.969
Mo 0.750 0.457 0.650
Mo 0.750 0.762 0.031
Mo 0.250 0.543 0.350
Mo 0.250 0.242 0.688
W 0.250 0.934 0.234
W 0.750 0.066 0.766

Computed properties:
Symmetry: P2_1/m (11)
Formation enthalpy at 0 K in eV/atom: 0.250

=====

Entry 2:
VMo3W5 | PBE | optimized geometry

Lattice parameters (Å, degrees): 7.160 9.499 9.838 132.63 124.46 92.10
Sites, in units of the cell vectors:
W 0.779 0.074 0.205
W 0.720 0.427 0.249
W 0.907 0.771 0.056
W 0.021 0.415 0.808
W 0.280 0.573 0.751
W 0.381 0.952 0.169
W 0.619 0.048 0.831
W 0.979 0.585 0.192
W 0.221 0.926 0.795
W 0.093 0.229 0.944
Mo 0.689 0.454 0.517
Mo 0.282 0.202 0.714
Mo 0.718 0.798 0.286
Mo 0.500 0.000 0.500
Mo 0.000 0.000 0.000
Mo 0.311 0.546 0.483
V 0.417 0.293 0.567
V 0.583 0.707 0.433

Computed properties:
Symmetry: P-1 (2)
Formation enthalpy at 0 K in eV/atom: 0.304

=====

Entry 3:
V3Mo8W2 | PBE | optimized geometry

Lattice parameters (Å, degrees): 4.537 7.819 7.819 50.40 89.94 89.94
Sites, in units of the cell vectors:
W 0.500 0.219 0.219
W 0.500 0.781 0.781
V 0.500 0.000 0.000
V 0.000 0.297 0.703
V 0.000 0.703 0.297
Mo 0.000 0.879 0.879
Mo 0.500 0.404 0.800
Mo 0.000 0.329 0.329
Mo 0.500 0.800 0.404
Mo 0.500 0.200 0.596
Mo 0.000 0.121 0.121
Mo 0.500 0.596 0.200
Mo 0.000 0.671 0.671

Computed properties:
Symmetry: C2/m (12)
Formation enthalpy at 0 K in eV/atom: 0.493

=====

Entry 4:
VMo6W | PBE | optimized geometry

Lattice parameters (Å, degrees): 4.453 5.452 5.452 109.41 90.00 90.00
Sites, in units of the cell vectors:
Mo 0.000 0.876 0.124
Mo 0.500 0.625 0.875
Mo 0.000 0.878 0.628
Mo 0.000 0.372 0.122
Mo 0.500 0.125 0.375
Mo 0.000 0.374 0.626
W 0.500 0.625 0.375
V 0.500 0.125 0.875

Computed properties:
Symmetry: Cmmm (65)
Formation enthalpy at 0 K in eV/atom: -0.070

=====

Entry 5:
VMo2W3 | PBE | optimized geometry

Lattice parameters (Å, degrees): 4.475 5.212 9.957 78.94 63.30 64.72
Sites, in units of the cell vectors:
V 0.334 0.332 0.000
V 0.666 0.668 0.000
Mo 0.500 0.000 0.500
Mo 0.000 0.000 0.000
Mo 0.834 0.333 0.500
Mo 0.166 0.667 0.500
W 0.253 0.000 0.247
W 0.586 0.335 0.246
W 0.414 0.665 0.754
W 0.747 0.000 0.753
W 0.078 0.335 0.754
W 0.922 0.665 0.246

Computed properties:
Symmetry: P2/m (10)
Formation enthalpy at 0 K in eV/atom: -0.066

=====

Entry 6:
VMoW3 | PBE | optimized geometry

Lattice parameters (Å, degrees): 4.513 9.290 9.290 79.61 67.16 67.16
Sites, in units of the cell vectors:
V 0.250 0.051 0.949
V 0.750 0.209 0.791
V 0.250 0.791 0.209
V 0.750 0.949 0.051
W 0.020 0.901 0.751
W 0.442 0.084 0.659
W 0.589 0.345 0.528
W 0.558 0.916 0.341
W 0.942 0.659 0.084
W 0.980 0.099 0.249
W 0.058 0.341 0.916
W 0.480 0.249 0.099
W 0.411 0.655 0.472
W 0.520 0.751 0.901
W 0.089 0.528 0.345
W 0.911 0.472 0.655
Mo 0.757 0.413 0.221
Mo 0.243 0.587 0.779
Mo 0.257 0.221 0.413
Mo 0.743 0.779 0.587

Computed properties:
Symmetry: C2/c (15)
Formation enthalpy at 0 K in eV/atom: 0.473